No. 1
{"formula": "LiAc2RhPb", "functional": "PBE", "state": "optimized geometry", "cell": [[7.6831, 0.0000, 0.0000], [0.0000, 4.7496, 0.0000], [-2.6740, 0.0000, 7.9243]], "species": ["Li", "Li", "Ac", "Ac", "Ac", "Ac", "Rh", "Rh", "Pb", "Pb"], "fractional_positions": [[0.0563, 0.2500, 0.1640], [0.9437, 0.7500, 0.8360], [0.2260, 0.7500, 0.5493], [0.3747, 0.7500, 0.1619], [0.6253, 0.2500, 0.8381], [0.7740, 0.2500, 0.4507], [0.3870, 0.2500, 0.4077], [0.6130, 0.7500, 0.5923], [0.1617, 0.2500, 0.8418], [0.8383, 0.7500, 0.1582]], "e_form_ev_per_fu": -2.63}

No. 2
{"formula": "LiAcRuPb", "functional": "PBE", "state": "optimized geometry", "cell": [[7.1205, 0.0000, 0.0000], [0.0000, 7.1205, 0.0000], [0.0000, 0.0000, 7.1205]], "species": ["Li", "Li", "Li", "Li", "Ac", "Ac", "Ac", "Ac", "Ru", "Ru", "Ru", "Ru", "Pb", "Pb", "Pb", "Pb"], "fractional_positions": [[0.0000, 0.0000, 0.0000], [0.0000, 0.5000, 0.5000], [0.5000, 0.0000, 0.5000], [0.5000, 0.5000, 0.0000], [0.2500, 0.2500, 0.2500], [0.2500, 0.7500, 0.7500], [0.7500, 0.2500, 0.7500], [0.7500, 0.7500, 0.2500], [0.0000, 0.0000, 0.5000], [0.0000, 0.5000, 0.0000], [0.5000, 0.0000, 0.0000], [0.5000, 0.5000, 0.5000], [0.2500, 0.2500, 0.7500], [0.2500, 0.7500, 0.2500], [0.7500, 0.2500, 0.2500], [0.7500, 0.7500, 0.7500]], "e_form_ev_per_fu": -0.29}

No. 3
{"formula": "LiAcPb2S4", "functional": "PBE", "state": "optimized geometry", "cell": [[2.0702, -6.8708, 0.0000], [2.0702, 6.8708, 0.0000], [0.0000, 0.0000, 14.4154]], "species": ["Li", "Li", "Ac", "Ac", "Pb", "Pb", "Pb", "Pb", "S", "S", "S", "S", "S", "S", "S", "S"], "fractional_positions": [[0.1538, 0.8462, 0.7500], [0.8462, 0.1538, 0.2500], [0.1123, 0.8877, 0.2500], [0.8877, 0.1123, 0.7500], [0.3676, 0.6324, 0.0535], [0.3676, 0.6324, 0.4465], [0.6324, 0.3676, 0.5535], [0.6324, 0.3676, 0.9465], [0.0000, 0.0000, 0.0000], [0.0000, 0.0000, 0.5000], [0.2819, 0.7181, 0.6312], [0.2819, 0.7181, 0.8688], [0.4512, 0.5488, 0.2500], [0.5488, 0.4512, 0.7500], [0.7181, 0.2819, 0.1312], [0.7181, 0.2819, 0.3688]], "total_energy_ev_per_atom": -4.91}

No. 4
{"formula": "LiAcSbPb", "functional": "PBE", "state": "optimized geometry", "cell": [[7.8545, 0.0000, 0.0000], [0.0000, 7.8545, 0.0000], [0.0000, 0.0000, 7.8545]], "species": ["Li", "Li", "Li", "Li", "Ac", "Ac", "Ac", "Ac", "Sb", "Sb", "Sb", "Sb", "Pb", "Pb", "Pb", "Pb"], "fractional_positions": [[0.0000, 0.0000, 0.0000], [0.0000, 0.5000, 0.5000], [0.5000, 0.0000, 0.5000], [0.5000, 0.5000, 0.0000], [0.0000, 0.0000, 0.5000], [0.0000, 0.5000, 0.0000], [0.5000, 0.0000, 0.0000], [0.5000, 0.5000, 0.5000], [0.2500, 0.2500, 0.7500], [0.2500, 0.7500, 0.2500], [0.7500, 0.2500, 0.2500], [0.7500, 0.7500, 0.7500], [0.2500, 0.2500, 0.2500], [0.2500, 0.7500, 0.7500], [0.7500, 0.2500, 0.7500], [0.7500, 0.7500, 0.2500]], "total_energy_ev_per_atom": -3.89}

> What is the formula in the first record?

LiAc2RhPb